# HgOs2Pb | Alexandria via LeMat-Bulk | GGA-PBEsol | relaxed
data_HgOs2Pb
_cell_length_a 2.930
_cell_length_b 2.930
_cell_length_c 8.855
_cell_angle_alpha 90.00
_cell_angle_beta 90.00
_cell_angle_gamma 90.00
_space_group_name_H-M_alt 'P 1'
_space_group_IT_number 1
_space_group_name_Hall 'P 1'
loop_
_atom_site_label
_atom_site_type_symbol
_atom_site_fract_x
_atom_site_fract_y
_atom_site_fract_z
_atom_site_occupancy
Hg1 Hg 0.000 0.000 0.000 1
Os1 Os 0.000 0.000 0.408 1
Os2 Os 0.500 0.500 0.233 1
Pb1 Pb 0.500 0.500 0.662 1
# * calculated formation energy: 0.5032 eV per atom

# Sr2CrRh | Alexandria via LeMat-Bulk | GGA-PBEsol | relaxed
data_Sr2CrRh
_cell_length_a 5.221
_cell_length_b 5.221
_cell_length_c 5.221
_cell_angle_alpha 60.00
_cell_angle_beta 60.00
_cell_angle_gamma 60.00
_space_group_name_H-M_alt 'P 1'
_space_group_IT_number 1
_space_group_name_Hall 'P 1'
loop_
_atom_site_label
_atom_site_type_symbol
_atom_site_fract_x
_atom_site_fract_y
_atom_site_fract_z
_atom_site_occupancy
Sr1 Sr 0.250 0.250 0.250 1
Sr2 Sr 0.750 0.750 0.750 1
Cr1 Cr 0.000 0.000 0.000 1
Rh1 Rh 0.500 0.500 0.500 1
# * calculated formation energy: 0.4813 eV per atom

# ErTlP2Se6 | Alexandria via LeMat-Bulk | GGA-PBEsol | relaxed
data_ErTlP2Se6
_cell_length_a 6.668
_cell_length_b 7.407
_cell_length_c 10.089
_cell_angle_alpha 90.00
_cell_angle_beta 90.80
_cell_angle_gamma 90.00
_space_group_name_H-M_alt 'P 1'
_space_group_IT_number 1
_space_group_name_Hall 'P 1'
loop_
_atom_site_label
_atom_site_type_symbol
_atom_site_fract_x
_atom_site_fract_y
_atom_site_fract_z
_atom_site_occupancy
Er1 Er 0.214 0.000 0.002 1
Er2 Er 0.786 0.500 0.998 1
Tl1 Tl 0.322 0.222 0.510 1
Tl2 Tl 0.678 0.722 0.490 1
P1 P 0.185 0.729 0.299 1
P2 P 0.313 0.507 0.177 1
P3 P 0.687 0.007 0.823 1
P4 P 0.815 0.229 0.701 1
Se1 Se 0.069 0.303 0.171 1
Se2 Se 0.078 0.311 0.830 1
Se3 Se 0.145 0.631 0.497 1
Se4 Se 0.374 0.638 0.981 1
Se5 Se 0.401 0.946 0.268 1
Se6 Se 0.403 0.909 0.741 1
Se7 Se 0.597 0.409 0.259 1
Se8 Se 0.599 0.446 0.732 1
Se9 Se 0.626 0.138 0.019 1
Se10 Se 0.855 0.131 0.503 1
Se11 Se 0.922 0.811 0.170 1
Se12 Se 0.931 0.803 0.829 1
# * total DFT energy (no corrections): -4.83 eV/atom

# KLaCr2 | Alexandria via LeMat-Bulk | GGA-PBEsol | relaxed
data_KLaCr2
_cell_length_a 10.983
_cell_length_b 10.983
_cell_length_c 10.983
_cell_angle_alpha 17.76
_cell_angle_beta 17.76
_cell_angle_gamma 17.76
_space_group_name_H-M_alt 'P 1'
_space_group_IT_number 1
_space_group_name_Hall 'P 1'
loop_
_atom_site_label
_atom_site_type_symbol
_atom_site_fract_x
_atom_site_fract_y
_atom_site_fract_z
_atom_site_occupancy
K1 K 0.000 0.000 0.000 1
La1 La 0.500 0.500 0.500 1
Cr1 Cr 0.241 0.241 0.241 1
Cr2 Cr 0.759 0.759 0.759 1
# * energy above the most stable polymorph in this dataset: 422 meV per atom
# * calculated formation energy: 1.2192 eV per atom